Entry 1:
A plane-wave DFT calculation with PBE-GGA was carried out for a geometry-optimized La4ErP5 structure.

Cell lengths 9.4266, 9.4266, 5.9741 Å; angles 90.00, 90.00, 90.00 degrees
Space group I4/m (No. 87)
Symmetry-distinct sites (fractional):
La (0.0983, 0.2989, 0.0000) [8 per cell]
Er (0.0000, 0.0000, 0.5000) [2 per cell]
P (0.0000, 0.0000, 0.0000) [2 per cell]
P (0.0968, 0.2912, 0.5000) [8 per cell]

**Total energy**: -6.69 eV/atom
**Total magnetic moment**: 0.0 μB per cell

---

Entry 2:
A plane-wave DFT calculation with PBE-GGA was carried out for a geometry-optimized LaEr4P5 structure.

Cell lengths 13.3614, 4.0328, 9.8857 Å; angles 90.00, 119.49, 90.00 degrees
Space group C2/m (No. 12)
Symmetry-distinct sites (fractional):
La (0.0000, 0.0000, 0.0000) [2 per cell]
Er (0.0981, 0.5000, 0.4004) [4 per cell]
Er (0.2005, 0.0000, 0.7948) [4 per cell]
P (0.0000, 0.0000, 0.5000) [2 per cell]
P (0.1060, 0.5000, 0.8946) [4 per cell]
P (0.2035, 0.0000, 0.3089) [4 per cell]

**Total energy**: -6.61 eV/atom
**Total magnetic moment**: 0.0 μB per cell

---

Entry 3:
A plane-wave DFT calculation with PBE-GGA was carried out for a geometry-optimized LaEr5P6 structure.

Cell lengths 6.9699, 12.0684, 6.9673 Å; angles 90.00, 109.52, 90.00 degrees
Space group C2/m (No. 12)
Symmetry-distinct sites (fractional):
La (0.0000, 0.0000, 0.0000) [2 per cell]
Er (0.0000, 0.1651, 0.5000) [4 per cell]
Er (0.0000, 0.3328, 0.0000) [4 per cell]
Er (0.0000, 0.5000, 0.5000) [2 per cell]
P (0.2428, 0.5000, 0.2547) [4 per cell]
P (0.2437, 0.3290, 0.7443) [8 per cell]

**Total energy**: -6.60 eV/atom
**Total magnetic moment**: 0.0 μB per cell

---

Entry 4:
A plane-wave DFT calculation with PBE-GGA was carried out for a geometry-optimized La5Er3P8 structure.

Cell lengths 8.3291, 8.3291, 20.3869 Å; angles 90.00, 90.00, 120.00 degrees
Space group R-3m (No. 166, hexagonal axes)
Symmetry-distinct sites (fractional):
La (0.0000, 0.0000, 0.0000) [3 per cell]
La (0.0000, 0.0000, 0.5000) [3 per cell]
La (0.0000, 0.5000, 0.0000) [9 per cell]
Er (0.0000, 0.5000, 0.5000) [9 per cell]
P (0.0000, 0.0000, 0.2448) [6 per cell]
P (0.0074, 0.5037, 0.7537) [18 per cell]

**Total energy**: -6.66 eV/atom
**Total magnetic moment**: 0.0 μB per cell

---

Entry 5:
A plane-wave DFT calculation with PBE-GGA was carried out for a geometry-optimized LaErP2 structure.

Cell lengths 4.1244, 4.1244, 20.1731 Å; angles 90.00, 90.00, 120.00 degrees
Space group R-3m (No. 166, hexagonal axes)
Symmetry-distinct sites (fractional):
La (0.0000, 0.0000, 0.0000) [3 per cell]
Er (0.0000, 0.0000, 0.5000) [3 per cell]
P (0.0000, 0.0000, 0.2446) [6 per cell]

**Total energy**: -6.65 eV/atom
**Total magnetic moment**: 0.0 μB per cell
**Energy above the most stable polymorph in this dataset**: 0.000 eV per atom

---

Entry 6:
A plane-wave DFT calculation with PBE-GGA was carried out for a geometry-optimized LaErP2 structure.

Cell lengths 4.0513, 4.0513, 21.1038 Å; angles 90.00, 90.00, 120.00 degrees
Space group R3m (No. 160, hexagonal axes)
Symmetry-distinct sites (fractional):
La (0.0000, 0.0000, 0.0000) [3 per cell]
Er (0.0000, 0.0000, 0.8289) [3 per cell]
P (0.0000, 0.0000, 0.2410) [3 per cell]
P (0.0000, 0.0000, 0.4199) [3 per cell]

**Total energy**: -6.52 eV/atom
**Total magnetic moment**: 0.0 μB per cell
**Energy above the most stable polymorph in this dataset**: 0.130 eV per atom